A relaxed structure of IrPt2Br. Source: Alexandria via LeMat-Bulk, functional PBE.

a b c (Å): 2.795 4.543 11.113
angles (deg): 90.00 90.00 90.00
Space group Immm (No. 71)
Symmetry-distinct sites (fractional):
Ir: 0.000 0.000 0.000 x2
Pt: 0.000 0.500 0.284 x4
Br: 0.000 0.000 0.500 x2

Calculated values
**Crystal system**: orthorhombic
**V**: 17.634 Å³ per atom
**Total magnetic moment**: 0.0 μB/f.u.
**DFT total energy**: -4.997 eV per atom
**Energy above the lowest structure with this stoichiometry**: 281 meV per atom
**ΔE_f (raw)**: 0.657 eV per atom